VASP calculation (PBE) on an optimized crystal structure of Pt3Pb6Au.

abc: 11.522 4.025 11.812
angles: 90.00 107.65 90.00
Fractional coordinates of all 20 atoms:
Pt  0.056  0.250  0.161
Pt  0.179  0.750  0.505
Pt  0.341  0.250  0.925
Pt  0.659  0.750  0.075
Pt  0.821  0.250  0.495
Pt  0.944  0.750  0.839
Pb  0.013  0.250  0.383
Pb  0.109  0.250  0.945
Pb  0.226  0.750  0.275
Pb  0.304  0.750  0.755
Pb  0.372  0.250  0.528
Pb  0.423  0.750  0.102
Pb  0.577  0.250  0.898
Pb  0.628  0.750  0.472
Pb  0.696  0.250  0.245
Pb  0.774  0.250  0.725
Pb  0.891  0.750  0.055
Pb  0.987  0.750  0.617
Au  0.450  0.250  0.306
Au  0.550  0.750  0.694

space group	P2_1/m
ΔE_f	-0.139	eV per atom
volume	26.10	Å³ per atom
magnetic moment	0.000	μB/f.u.